[1]
The following is a DFT calculation (meta-GGA SCAN) of a PBEsol-optimized structure of CaIn2Ir.

Values from the calculation:
Volume ... 20.2 Å³/atom
Spin magnetization ... 0.0 μB/f.u.
DFT formation energy ... 0.037 eV/atom
Fermi-level density of states ... 1.5 states/eV/cell
Calculated density ... 9.47 g cm⁻³
Calculated total energy ... -147.39 eV per formula unit

Unit cell a=3.129 b=5.325 c=5.325 alpha=114.07 beta=90.00 gamma=90.00
Fractional coordinates of all 4 atoms:
Ir (0.500, 0.000, 0.000)
In (0.000, 0.500, 0.000)
In (0.000, 0.000, 0.500)
Ca (0.500, 0.500, 0.500)

[2]
The following is a DFT calculation (meta-GGA SCAN) of a PBEsol-optimized structure of CaIn4Ir.

Values from the calculation:
Volume ... 22.5 Å³/atom
Spin magnetization ... 0.0 μB/f.u.
DFT formation energy ... -0.463 eV/atom
Fermi-level density of states ... 3.0 states/eV/cell
Calculated density ... 8.50 g cm⁻³
Calculated total energy ... -217.09 eV per formula unit

Unit cell a=4.212 b=7.420 c=8.649 alpha=90.00 beta=90.00 gamma=90.00
Fractional coordinates of all 12 atoms:
In (0.500, 0.684, 0.436)
Ir (0.000, 0.805, 0.250)
Ca (0.000, 0.599, 0.750)
In (0.500, 0.932, 0.750)
In (0.500, 0.316, 0.936)
In (0.500, 0.316, 0.564)
In (0.000, 0.000, 0.500)
In (0.000, 0.000, 0.000)
Ir (0.000, 0.195, 0.750)
Ca (0.000, 0.401, 0.250)
In (0.500, 0.068, 0.250)
In (0.500, 0.684, 0.064)

[3]
The following is a DFT calculation (meta-GGA SCAN) of a PBEsol-optimized structure of CaIn2Ir.

Values from the calculation:
Volume ... 20.9 Å³/atom
Spin magnetization ... 0.3 μB/f.u.
DFT formation energy ... -0.271 eV/atom
Fermi-level density of states ... 1.7 states/eV/cell
Calculated density ... 9.17 g cm⁻³
Calculated total energy ... -148.62 eV per formula unit

Unit cell a=3.266 b=3.266 c=7.844 alpha=90.00 beta=90.00 gamma=90.00
Fractional coordinates of all 4 atoms:
In (0.000, 0.000, 0.203)
In (0.000, 0.000, 0.797)
Ir (0.500, 0.500, 0.000)
Ca (0.500, 0.500, 0.500)

[4]
The following is a DFT calculation (meta-GGA SCAN) of a PBEsol-optimized structure of CaIn2Ir.

Values from the calculation:
Volume ... 21.8 Å³/atom
Spin magnetization ... 0.0 μB/f.u.
DFT formation energy ... -0.571 eV/atom
Fermi-level density of states ... 10.2 states/eV/cell
Calculated density ... 8.79 g cm⁻³
Calculated total energy ... -149.82 eV per formula unit

Unit cell a=5.669 b=7.795 c=15.803 alpha=90.00 beta=90.00 gamma=90.00
Fractional coordinates of all 32 atoms:
In (0.465, 0.550, 0.288)
In (0.535, 0.450, 0.712)
In (0.035, 0.950, 0.788)
Ca (0.755, 0.250, 0.897)
In (0.965, 0.050, 0.212)
Ir (0.020, 0.750, 0.930)
Ir (0.980, 0.250, 0.070)
Ir (0.268, 0.250, 0.815)
Ca (0.745, 0.250, 0.397)
Ca (0.245, 0.750, 0.103)
In (0.252, 0.053, 0.961)
Ca (0.040, 0.250, 0.639)
Ca (0.540, 0.750, 0.861)
In (0.752, 0.947, 0.539)
Ir (0.232, 0.250, 0.315)
In (0.465, 0.950, 0.288)
Ca (0.960, 0.750, 0.361)
In (0.248, 0.053, 0.461)
Ir (0.768, 0.750, 0.685)
Ir (0.732, 0.750, 0.185)
In (0.248, 0.447, 0.461)
In (0.252, 0.447, 0.961)
Ir (0.520, 0.250, 0.570)
Ca (0.255, 0.750, 0.603)
Ir (0.480, 0.750, 0.430)
Ca (0.460, 0.250, 0.139)
In (0.748, 0.947, 0.039)
In (0.035, 0.550, 0.788)
In (0.748, 0.553, 0.039)
In (0.752, 0.553, 0.539)
In (0.965, 0.450, 0.212)
In (0.535, 0.050, 0.712)

[5]
The following is a DFT calculation (meta-GGA SCAN) of a PBEsol-optimized structure of CaInReIr2.

Values from the calculation:
Volume ... 23.4 Å³/atom
Spin magnetization ... 0.0 μB/f.u.
DFT formation energy ... 0.942 eV/atom
Fermi-level density of states ... 3.7 states/eV/cell
Calculated density ... 10.29 g cm⁻³
Calculated total energy ... -251.64 eV per formula unit

Unit cell a=4.714 b=4.714 c=5.272 alpha=90.00 beta=90.00 gamma=90.00
Fractional coordinates of all 5 atoms:
Ca (0.000, 0.000, 0.500)
Ir (0.500, 0.000, 0.000)
Re (0.000, 0.000, 0.000)
In (0.500, 0.500, 0.500)
Ir (0.000, 0.500, 0.000)

[6]
The following is a DFT calculation (meta-GGA SCAN) of a PBEsol-optimized structure of K2CaIn.

Values from the calculation:
Volume ... 42.9 Å³/atom
Spin magnetization ... 0.1 μB/f.u.
DFT formation energy ... 0.105 eV/atom
Fermi-level density of states ... 3.4 states/eV/cell
Calculated density ... 2.26 g cm⁻³
Calculated total energy ... -59.29 eV per formula unit

Unit cell a=3.809 b=3.809 c=11.825 alpha=90.00 beta=90.00 gamma=90.39
Fractional coordinates of all 4 atoms:
In (0.500, 0.500, 0.000)
K (0.000, 0.000, 0.209)
K (0.000, 0.000, 0.791)
Ca (0.500, 0.500, 0.500)

[7]
The following is a DFT calculation (meta-GGA SCAN) of a PBEsol-optimized structure of K2CaIn.

Values from the calculation:
Volume ... 44.7 Å³/atom
Spin magnetization ... 0.0 μB/f.u.
DFT formation energy ... -0.142 eV/atom
Fermi-level density of states ... 2.4 states/eV/cell
Calculated density ... 2.17 g cm⁻³
Calculated total energy ... -60.27 eV per formula unit

Unit cell a=4.070 b=4.070 c=10.787 alpha=90.00 beta=90.00 gamma=90.00
Fractional coordinates of all 4 atoms:
K (0.000, 0.000, 0.930)
In (0.500, 0.500, 0.708)
Ca (0.000, 0.000, 0.576)
K (0.500, 0.500, 0.286)

[8]
The following is a DFT calculation (meta-GGA SCAN) of a PBEsol-optimized structure of KCaInSi2.

Values from the calculation:
Volume ... 32.2 Å³/atom
Formation energy (no corrections) ... 4.7 eV/f.u.
Spin magnetization ... 0.8 μB/f.u.
Fermi-level density of states ... 2.7 states/eV/cell
Calculated density ... 2.58 g cm⁻³
Calculated total energy ... -66.76 eV per formula unit

Unit cell a=5.338 b=5.338 c=5.658 alpha=90.00 beta=90.00 gamma=90.00
Fractional coordinates of all 5 atoms:
In (0.500, 0.500, 0.500)
Si (0.000, 0.500, 0.000)
Ca (0.000, 0.000, 0.000)
Si (0.500, 0.000, 0.000)
K (0.000, 0.000, 0.500)

Q: What is the calculated density in the fifth record?
A: 10.29 g cm⁻³

Q: Which value of calculated total energy does entry 8 give?
A: -66.76 eV per formula unit

Q: Fermi-level density of states of number 4 (CaIn2Ir)?
A: 10.2 states/eV/cell

Q: Among the records above, which one has the highest spin magnetization?
A: KCaInSi2